Entry from the Alexandria database: a relaxed structure of Li2Cr3CuO8 (PBE with a Hubbard U).

Calculated values
Electronic total energy, eV/atom: -6.54
E above lowest polymorph, meV per atom: 41
SG: No. 9

a = 5.870 Å, b = 5.870 Å, c = 9.553 Å
α = 90.34°, β = 90.34°, γ = 119.86°
Sites, in units of the cell vectors:
Li 0.001 0.999 0.500
Li 0.346 0.672 0.095
Li 0.672 0.346 0.595
Li 0.999 0.001 0.000
Cr 0.174 0.843 0.786
Cr 0.175 0.349 0.782
Cr 0.349 0.175 0.282
Cr 0.669 0.842 0.785
Cr 0.842 0.669 0.285
Cr 0.843 0.174 0.286
Cu 0.330 0.669 0.512
Cu 0.669 0.330 0.012
O 0.002 0.006 0.684
O 0.006 0.002 0.184
O 0.043 0.538 0.659
O 0.158 0.328 0.392
O 0.159 0.831 0.390
O 0.328 0.158 0.892
O 0.342 0.680 0.892
O 0.480 0.966 0.661
O 0.491 0.538 0.657
O 0.538 0.043 0.159
O 0.538 0.491 0.157
O 0.677 0.840 0.385
O 0.680 0.342 0.392
O 0.831 0.159 0.890
O 0.840 0.677 0.885
O 0.966 0.480 0.161